A relaxed LiLaPmAu crystal. Source: Alexandria via LeMat-Bulk, functional PBE.

Summary:
Magnetic moment = 0.004 μB per cell
Density of states at the Fermi level = 5.30 states/eV/cell
Final energy = -4.046 eV per atom
SG = F-43m
Calculated formation energy = -0.329 eV per atom

a = 5.3119 Å, b = 5.3119 Å, c = 5.3119 Å
α = 60.00°, β = 60.00°, γ = 60.00°
With the nearest neighbours (Å) after each atom.
Fractional coordinates of all 4 atoms:
1 Li 0.5000 0.5000 0.5000  4 Pm 3.25, 4 La 3.25
2 Pm 0.2500 0.2500 0.2500  4 Au 3.25, 4 Li 3.25
3 Au 0.0000 0.0000 0.0000  4 La 3.25, 4 Pm 3.25
4 La 0.7500 0.7500 0.7500  4 Au 3.25, 4 Li 3.25



A relaxed Li2LaPm2Au2 crystal. Source: Alexandria via LeMat-Bulk, functional PBE.

Summary:
Magnetic moment = 0.000 μB per cell
Density of states at the Fermi level = 4.84 states/eV/cell
Final energy = -3.851 eV per atom
SG = P-3m1
Calculated formation energy = -0.306 eV per atom

a = 4.0997 Å, b = 4.0997 Å, c = 13.4193 Å
α = 90.00°, β = 90.00°, γ = 120.00°
With the nearest neighbours (Å) after each atom.
Fractional coordinates of all 7 atoms:
1 Pm 0.0000 0.0000 0.2937  3 Au 3.01, 3 Li 3.28
2 Li 0.6667 0.3333 0.4630  3 Li 2.57
3 Pm 0.0000 0.0000 0.7063  3 Au 3.01, 3 Li 3.28
4 Au 0.3333 0.6667 0.8444  3 Pm 3.01, 3 La 3.16
5 Li 0.3333 0.6667 0.5370  3 Li 2.57
6 La 0.0000 0.0000 0.0000  6 Au 3.16
7 Au 0.6667 0.3333 0.1556  3 Pm 3.01, 3 La 3.16



A relaxed LiLaPrAu crystal. Source: Alexandria via LeMat-Bulk, functional PBE.

Summary:
Magnetic moment = 0.379 μB per cell
Density of states at the Fermi level = 5.31 states/eV/cell
Final energy = -4.045 eV per atom
SG = F-43m
Calculated formation energy = -0.321 eV per atom

a = 5.3480 Å, b = 5.3480 Å, c = 5.3480 Å
α = 60.00°, β = 60.00°, γ = 60.00°
With the nearest neighbours (Å) after each atom.
Fractional coordinates of all 4 atoms:
1 Li 0.5000 0.5000 0.5000  4 La 3.27, 4 Pr 3.27
2 Au 0.0000 0.0000 0.0000  4 Pr 3.27, 4 La 3.27
3 Pr 0.7500 0.7500 0.7500  4 Au 3.27, 4 Li 3.27
4 La 0.2500 0.2500 0.2500  4 Au 3.27, 4 Li 3.27



A relaxed Li2LaPrAu2 crystal. Source: Alexandria via LeMat-Bulk, functional PBE.

Summary:
Magnetic moment = 0.000 μB per cell
Density of states at the Fermi level = 6.39 states/eV/cell
Final energy = -3.880 eV per atom
SG = P-3m1
Calculated formation energy = -0.531 eV per atom

a = 4.6876 Å, b = 4.6876 Å, c = 7.3215 Å
α = 90.00°, β = 90.00°, γ = 120.00°
With the nearest neighbours (Å) after each atom.
Fractional coordinates of all 6 atoms:
1 Li 0.3333 0.6667 0.7591  3 Au 2.71
2 Au 0.3333 0.6667 0.2454  3 Li 2.71
3 La 0.0000 0.0000 0.5000  6 Au 3.29, 6 Li 3.31, 2 Pr 3.66
4 Pr 0.0000 0.0000 0.0000  6 Li 3.23, 6 Au 3.25
5 Li 0.6667 0.3333 0.2409  3 Au 2.71
6 Au 0.6667 0.3333 0.7546  3 Li 2.71



Among the records above, which one has the lowest calculated formation energy? Li2LaPrAu2